Nb2Pd8Au (PBE, optimized geometry); ΔH_f (0 K) = -0.28 eV per atom; energy relative to the lowest polymorph listed for this composition = 0 meV/atom; magnetic moment = 0.00 μB per formula unit; density of states at the Fermi level = 0.6534 states/eV/atom; SG = C2/m
1.0
3.983 0.000 0.000
0.000 6.471 0.341
-1.991 -2.395 6.742
Au Pd Nb
1 8 2
direct
0.500 0.000 0.000
0.681 0.910 0.363
0.954 0.275 0.909
0.854 0.798 0.709
0.402 0.541 0.803
0.146 0.202 0.291
0.598 0.459 0.197
0.319 0.090 0.637
0.046 0.725 0.091
0.779 0.340 0.558
0.221 0.660 0.442

Ac2Pr7Tm (PBE, optimized geometry); ΔH_f (0 K) = 0.15 eV per atom; magnetic moment = 0.00 μB per formula unit; density of states at the Fermi level = 1.6037 states/eV/atom; SG = Cmmm
1.0
-0.185 0.013 3.615
3.763 -15.036 0.245
3.136 15.180 0.107
Pr Ac Tm
7 2 1
direct
0.500 0.146 0.336
0.000 0.184 0.816
0.500 0.854 0.664
0.500 0.664 0.854
0.500 0.500 0.500
0.000 0.816 0.184
0.500 0.336 0.146
0.500 0.705 0.295
0.500 0.295 0.705
0.000 0.000 0.000

Ge3PtN (PBE, optimized geometry); energy relative to the lowest polymorph listed for this composition = 0 meV/atom; magnetic moment = 0.00 μB per formula unit; density of states at the Fermi level = 0.5377 states/eV/atom; SG = Pm-3m
1.0
-3.293 -0.070 2.689
2.689 -0.237 3.285
0.096 4.245 0.228
Ge N Pt
3 1 1
direct
0.000 0.000 0.500
0.500 0.000 0.000
0.000 0.500 0.000
0.000 0.000 0.000
0.500 0.500 0.500

CeSm6Y12 (PBE, optimized geometry); ΔH_f (0 K) = 0.21 eV per atom; magnetic moment = 0.39 μB per formula unit; density of states at the Fermi level = 1.8605 states/eV/atom; SG = R-3m
1.0
-1.420 -0.358 -8.662
8.436 -2.446 0.175
-3.744 -7.581 2.385
Sm Y Ce
6 12 1
direct
0.660 0.099 0.099
0.901 0.340 0.901
0.340 0.901 0.901
0.099 0.099 0.660
0.099 0.660 0.099
0.901 0.901 0.340
0.500 0.242 0.758
0.350 0.079 0.350
0.921 0.650 0.650
0.650 0.650 0.921
0.242 0.500 0.758
0.650 0.921 0.650
0.350 0.350 0.079
0.242 0.758 0.500
0.079 0.350 0.350
0.500 0.758 0.242
0.758 0.500 0.242
0.758 0.242 0.500
0.000 0.000 0.000